# 1
A plane-wave DFT calculation with PBE-GGA was carried out for MnPIN2 after structural relaxation.

Output
calculated volume	80.3	Å³/cell
spin magnetization	0.0	μB per formula unit
uncorrected formation energy	1.12	eV per atom

abc: 3.678 3.678 5.938
angles: 90.00 90.00 90.00
Atoms (fractional coordinates):
Mn: 0.000 0.000 0.000
P: 0.500 0.500 0.500
I: 0.000 0.000 0.500
N: 0.000 0.500 0.000
N: 0.500 0.000 0.000


# 2
A plane-wave DFT calculation with PBE-GGA was carried out for MnPbIN2 after structural relaxation.

Output
calculated volume	120.8	Å³/cell
spin magnetization	6.6	μB per formula unit
uncorrected formation energy	1.70	eV per atom

abc: 4.359 4.359 6.357
angles: 90.00 90.00 90.00
Atoms (fractional coordinates):
Mn: 0.000 0.000 0.000
Pb: 0.500 0.500 0.500
I: 0.500 0.500 0.000
N: 0.000 0.500 0.500
N: 0.500 0.000 0.500


> uncorrected formation energy of number 1 (MnPIN2)?

1.12 eV per atom